The following is a DFT calculation (GGA-PBE) of a relaxed structure of Sm7Al2Bi2.

Calculated values
E: -4.542 eV/atom
Mass density: 6.80 g/cm³
SG: Cmmm
Calculated volume: 33.862 A^3/atom
Crystal system: orthorhombic

abc: 7.478 6.745 7.478
angles: 89.99 99.07 90.01
Element x y z (fractional)
Sm: 0.500 0.745 0.000
Sm: 0.500 0.245 0.500
Sm: 0.000 0.745 0.500
Sm: 0.000 0.000 0.000
Sm: 0.500 0.755 0.500
Sm: 0.000 0.255 0.500
Sm: 0.500 0.255 0.000
Al: 0.272 0.000 0.728
Al: 0.728 0.000 0.272
Bi: 0.197 0.500 0.197
Bi: 0.803 0.500 0.803